Entry 1:
A geometry-optimized PrGa3Pt structure. Source: OQMD via LeMat-Bulk, functional PBE.

Structure (POSCAR):
```
PrGa3Pt
1.0
4.361 0.000 0.000
0.000 4.361 0.000
0.000 0.000 10.531
Pr Ga Pt
2 6 2
Direct
0.000 0.000 0.000
0.500 0.500 0.500
0.000 0.000 0.408
0.000 0.500 0.258
0.000 0.500 0.758
0.500 0.000 0.258
0.500 0.000 0.758
0.500 0.500 0.908
0.000 0.000 0.642
0.500 0.500 0.142
```

Results
**DFT total energy**: -4.7832 eV/atom

Entry 2:
A geometry-optimized PrGa2Pt2 structure. Source: OQMD via LeMat-Bulk, functional PBE.

Structure (POSCAR):
```
PrGa2Pt2
1.0
4.220 0.000 0.000
0.000 4.220 0.000
0.000 0.000 10.820
Pr Ga Pt
2 4 4
Direct
0.000 0.000 0.000
0.500 0.500 0.500
0.000 0.000 0.381
0.000 0.000 0.619
0.500 0.500 0.119
0.500 0.500 0.881
0.000 0.500 0.250
0.000 0.500 0.750
0.500 0.000 0.250
0.500 0.000 0.750
```

Results
**DFT total energy**: -5.4725 eV/atom

Entry 3:
A geometry-optimized Pr2Ga8Pt structure. Source: OQMD via LeMat-Bulk, functional PBE.

Structure (POSCAR):
```
Pr2Ga8Pt
1.0
4.427 0.000 0.000
0.000 4.427 0.000
0.000 0.000 11.426
Pr Ga Pt
2 8 1
Direct
0.000 0.000 0.192
0.000 0.000 0.808
0.000 0.500 0.000
0.000 0.500 0.378
0.000 0.500 0.622
0.500 0.000 0.000
0.500 0.000 0.378
0.500 0.000 0.622
0.500 0.500 0.193
0.500 0.500 0.807
0.000 0.000 0.500
```

Results
**DFT total energy**: -4.1719 eV/atom

Entry 4:
A geometry-optimized PrGa2Pt2 structure. Source: OQMD via LeMat-Bulk, functional PBE.

Structure (POSCAR):
```
PrGa2Pt2
1.0
4.249 0.000 0.000
0.000 4.249 0.000
0.000 0.000 11.047
Pr Ga Pt
2 4 4
Direct
0.000 0.000 0.000
0.500 0.500 0.500
0.000 0.500 0.250
0.000 0.500 0.750
0.500 0.000 0.250
0.500 0.000 0.750
0.000 0.000 0.378
0.000 0.000 0.622
0.500 0.500 0.122
0.500 0.500 0.878
```

Results
**DFT total energy**: -5.5135 eV/atom

Entry 5:
A geometry-optimized PrGa6Pt4 structure. Source: OQMD via LeMat-Bulk, functional PBE.

Structure (POSCAR):
```
PrGa6Pt4
1.0
7.430 0.000 0.000
-3.715 6.435 0.000
0.000 0.000 4.057
Pr Ga Pt
1 6 4
Direct
0.000 0.000 0.000
0.197 0.394 0.500
0.197 0.803 0.500
0.534 0.067 0.000
0.534 0.466 0.000
0.606 0.803 0.500
0.933 0.466 0.000
0.333 0.667 0.000
0.404 0.202 0.500
0.798 0.202 0.500
0.798 0.596 0.500
```

Results
**DFT total energy**: -5.0564 eV/atom

Entry 6:
A geometry-optimized PrTmGa2Pt4 structure. Source: OQMD via LeMat-Bulk, functional PBE.

Structure (POSCAR):
```
PrTmGa2Pt4
1.0
4.401 0.000 0.000
-2.201 3.812 0.000
0.000 0.000 9.317
Pr Tm Ga Pt
1 1 2 4
Direct
0.000 0.000 0.000
0.333 0.667 0.500
0.667 0.333 0.258
0.667 0.333 0.742
0.000 0.000 0.342
0.000 0.000 0.658
0.333 0.667 0.183
0.333 0.667 0.817
```

Results
**DFT total energy**: -5.9637 eV/atom

Entry 7:
A geometry-optimized PrGaRe structure. Source: OQMD via LeMat-Bulk, functional PBE.

Structure (POSCAR):
```
PrGaRe
1.0
6.493 0.000 0.000
0.000 6.493 0.000
0.000 0.000 6.493
Pr Ga Re
4 4 4
Direct
0.000 0.000 0.000
0.000 0.500 0.500
0.500 0.000 0.500
0.500 0.500 0.000
0.250 0.250 0.250
0.250 0.750 0.750
0.750 0.250 0.750
0.750 0.750 0.250
0.000 0.000 0.500
0.000 0.500 0.000
0.500 0.000 0.000
0.500 0.500 0.500
```

Results
**Distance to the lowest polymorph of the same formula**: 0.0 meV per atom

Entry 8:
A geometry-optimized PrGaRe structure. Source: OQMD via LeMat-Bulk, functional PBE.

Structure (POSCAR):
```
PrGaRe
1.0
6.783 0.000 0.000
0.000 6.783 0.000
0.000 0.000 6.783
Pr Ga Re
4 4 4
Direct
0.000 0.000 0.000
0.000 0.500 0.500
0.500 0.000 0.500
0.500 0.500 0.000
0.250 0.250 0.750
0.250 0.750 0.250
0.750 0.250 0.250
0.750 0.750 0.750
0.250 0.250 0.250
0.250 0.750 0.750
0.750 0.250 0.750
0.750 0.750 0.250
```

Results
**Distance to the lowest polymorph of the same formula**: 780.8 meV per atom

Entry 9:
A geometry-optimized PrGa3S structure. Source: OQMD via LeMat-Bulk, functional PBE.

Structure (POSCAR):
```
PrGa3S
1.0
4.883 0.000 0.000
0.000 4.883 0.000
0.000 0.000 4.883
Pr Ga S
1 3 1
Direct
0.000 0.000 0.000
0.000 0.500 0.500
0.500 0.000 0.500
0.500 0.500 0.000
0.500 0.500 0.500
```

Results
**DFT total energy**: -3.5895 eV/atom

Entry 10:
A geometry-optimized Pr3GaS6 structure. Source: OQMD via LeMat-Bulk, functional PBE.

Structure (POSCAR):
```
Pr3GaS6
1.0
5.551 -6.899 0.000
5.551 6.899 0.000
0.000 0.000 6.683
Pr Ga S
6 2 12
Direct
0.102 0.898 0.500
0.215 0.416 0.582
0.416 0.215 0.082
0.584 0.785 0.582
0.785 0.584 0.082
0.898 0.102 0.000
0.302 0.698 0.122
0.698 0.302 0.622
0.075 0.600 0.290
0.137 0.185 0.292
0.185 0.137 0.792
0.283 0.717 0.782
0.400 0.925 0.290
0.459 0.541 0.259
0.541 0.459 0.759
0.600 0.075 0.790
0.717 0.283 0.282
0.815 0.863 0.292
0.863 0.815 0.792
0.925 0.400 0.790
```

Results
**DFT total energy**: -5.9435 eV/atom

Entry 11:
A geometry-optimized Pr4GaSbS9 structure. Source: OQMD via LeMat-Bulk, functional PBE.

Structure (POSCAR):
```
Pr4GaSbS9
1.0
13.925 0.000 0.000
0.000 7.182 7.272
0.000 -7.182 7.272
Pr Ga Sb S
16 4 4 36
Direct
0.101 0.172 0.828
0.104 0.671 0.445
0.179 0.451 0.120
0.186 0.905 0.122
0.314 0.405 0.622
0.321 0.951 0.620
0.396 0.171 0.945
0.399 0.672 0.328
0.601 0.328 0.672
0.604 0.945 0.171
0.679 0.620 0.951
0.686 0.622 0.405
0.814 0.122 0.905
0.821 0.120 0.451
0.896 0.445 0.671
0.899 0.828 0.172
0.093 0.170 0.378
0.407 0.670 0.878
0.593 0.878 0.670
0.907 0.378 0.170
0.114 0.665 0.818
0.386 0.165 0.318
0.614 0.318 0.165
0.886 0.818 0.665
0.000 0.361 0.361
0.000 0.996 0.996
0.002 0.372 0.987
0.069 0.680 0.175
0.079 0.848 0.663
0.100 0.483 0.660
0.190 0.174 0.564
0.201 0.177 0.203
0.248 0.853 0.384
0.250 0.491 0.376
0.250 0.991 0.876
0.252 0.353 0.884
0.299 0.677 0.703
0.310 0.674 0.064
0.400 0.983 0.160
0.421 0.348 0.163
0.431 0.180 0.675
0.498 0.872 0.487
0.500 0.496 0.496
0.500 0.861 0.861
0.502 0.487 0.872
0.569 0.675 0.180
0.579 0.163 0.348
0.600 0.160 0.983
0.690 0.064 0.674
0.701 0.703 0.677
0.748 0.884 0.353
0.750 0.376 0.491
0.750 0.876 0.991
0.752 0.384 0.853
0.799 0.203 0.177
0.810 0.564 0.174
0.900 0.660 0.483
0.921 0.663 0.848
0.931 0.175 0.680
0.998 0.987 0.372
```

Results
**DFT total energy**: -5.7671 eV/atom

Entry 12:
A geometry-optimized PrScGa2 structure. Source: OQMD via LeMat-Bulk, functional PBE.

Structure (POSCAR):
```
PrScGa2
1.0
4.050 0.000 0.000
0.000 4.270 0.000
0.000 0.000 10.982
Pr Sc Ga
2 2 4
Direct
0.000 0.000 0.000
0.000 0.500 0.500
0.500 0.000 0.725
0.500 0.500 0.225
0.000 0.000 0.275
0.000 0.500 0.775
0.500 0.000 0.423
0.500 0.500 0.923
```

Results
**DFT total energy**: -4.8420 eV/atom

Entry 13:
A geometry-optimized SrPrGaSe3 structure. Source: OQMD via LeMat-Bulk, functional PBE.

Structure (POSCAR):
```
SrPrGaSe3
1.0
2.173 -7.451 0.000
2.173 7.451 0.000
0.000 0.000 10.467
Sr Pr Ga Se
2 2 2 6
Direct
0.240 0.760 0.750
0.760 0.240 0.250
0.000 0.000 0.000
0.000 0.000 0.500
0.486 0.514 0.250
0.514 0.486 0.750
0.112 0.888 0.250
0.359 0.641 0.058
0.359 0.641 0.442
0.641 0.359 0.558
0.641 0.359 0.942
0.888 0.112 0.750
```

Results
**DFT total energy**: -4.6358 eV/atom

Entry 14:
A geometry-optimized PrTmGaSe3 structure. Source: OQMD via LeMat-Bulk, functional PBE.

Structure (POSCAR):
```
PrTmGaSe3
1.0
2.021 -7.293 0.000
2.021 7.293 0.000
0.000 0.000 9.806
Pr Tm Ga Se
2 2 2 6
Direct
0.226 0.774 0.750
0.774 0.226 0.250
0.000 0.000 0.000
0.000 0.000 0.500
0.476 0.524 0.250
0.524 0.476 0.750
0.121 0.879 0.250
0.354 0.646 0.042
0.354 0.646 0.458
0.646 0.354 0.542
0.646 0.354 0.958
0.879 0.121 0.750
```

Results
**DFT total energy**: -5.0668 eV/atom

Entry 15:
A geometry-optimized Pr2Ga3Si structure. Source: OQMD via LeMat-Bulk, functional PBE.

Structure (POSCAR):
```
Pr2Ga3Si
1.0
0.000 4.329 7.317
4.230 0.000 7.317
4.230 4.329 0.000
Pr Ga Si
4 6 2
Direct
0.247 0.753 0.247
0.250 0.250 0.250
0.750 0.750 0.750
0.753 0.247 0.753
0.165 0.667 0.835
0.332 0.332 0.668
0.333 0.835 0.667
0.667 0.165 0.333
0.668 0.668 0.332
0.835 0.333 0.165
0.167 0.167 0.833
0.833 0.833 0.167
```

Results
**DFT total energy**: -4.7246 eV/atom

Entry 16:
A geometry-optimized PrSmGa structure. Source: OQMD via LeMat-Bulk, functional PBE.

Structure (POSCAR):
```
PrSmGa
1.0
7.203 0.000 0.000
0.000 7.203 0.000
0.000 0.000 7.203
Pr Sm Ga
4 4 4
Direct
0.000 0.000 0.000
0.000 0.500 0.500
0.500 0.000 0.500
0.500 0.500 0.000
0.000 0.000 0.500
0.000 0.500 0.000
0.500 0.000 0.000
0.500 0.500 0.500
0.250 0.250 0.250
0.250 0.750 0.750
0.750 0.250 0.750
0.750 0.750 0.250
```

Results
**Distance to the lowest polymorph of the same formula**: 0.0 meV per atom

Entry 17:
A geometry-optimized PrSmGa3 structure. Source: OQMD via LeMat-Bulk, functional PBE.

Structure (POSCAR):
```
PrSmGa3
1.0
2.181 -13.037 0.000
2.181 13.037 0.000
0.000 0.000 4.240
Pr Sm Ga
2 2 6
Direct
0.073 0.927 0.750
0.927 0.073 0.250
0.203 0.797 0.250
0.797 0.203 0.750
0.325 0.675 0.250
0.381 0.619 0.750
0.476 0.524 0.750
0.524 0.476 0.250
0.619 0.381 0.250
0.675 0.325 0.750
```

Results
**DFT total energy**: -4.3770 eV/atom

Entry 18:
A geometry-optimized SrPrGa structure. Source: OQMD via LeMat-Bulk, functional PBE.

Structure (POSCAR):
```
SrPrGa
1.0
7.506 0.000 0.000
0.000 7.506 0.000
0.000 0.000 7.506
Sr Pr Ga
4 4 4
Direct
0.000 0.000 0.000
0.000 0.500 0.500
0.500 0.000 0.500
0.500 0.500 0.000
0.000 0.000 0.500
0.000 0.500 0.000
0.500 0.000 0.000
0.500 0.500 0.500
0.250 0.250 0.750
0.250 0.750 0.250
0.750 0.250 0.250
0.750 0.750 0.750
```

Results
**Distance to the lowest polymorph of the same formula**: 0.0 meV per atom

Entry 19:
A geometry-optimized TbPrGa5 structure. Source: OQMD via LeMat-Bulk, functional PBE.

Structure (POSCAR):
```
TbPrGa5
1.0
4.297 0.000 0.000
0.000 4.297 0.000
0.000 0.000 8.661
Tb Pr Ga
1 1 5
Direct
0.000 0.000 0.000
0.000 0.000 0.500
0.000 0.500 0.241
0.000 0.500 0.759
0.500 0.000 0.241
0.500 0.000 0.759
0.500 0.500 0.500
```

Results
**DFT total energy**: -3.9037 eV/atom

Entry 20:
A geometry-optimized TbPrGa structure. Source: OQMD via LeMat-Bulk, functional PBE.

Structure (POSCAR):
```
TbPrGa
1.0
7.162 0.000 0.000
0.000 7.162 0.000
0.000 0.000 7.162
Tb Pr Ga
4 4 4
Direct
0.000 0.000 0.000
0.000 0.500 0.500
0.500 0.000 0.500
0.500 0.500 0.000
0.000 0.000 0.500
0.000 0.500 0.000
0.500 0.000 0.000
0.500 0.500 0.500
0.250 0.250 0.750
0.250 0.750 0.250
0.750 0.250 0.250
0.750 0.750 0.750
```

Results
**Distance to the lowest polymorph of the same formula**: 0.0 meV per atom

Entry 21:
A geometry-optimized PrGaTe2 structure. Source: OQMD via LeMat-Bulk, functional PBE.

Structure (POSCAR):
```
PrGaTe2
1.0
6.290 0.000 0.000
0.000 4.495 0.000
-3.080 0.000 8.295
Pr Ga Te
2 2 4
Direct
0.133 0.250 0.291
0.867 0.750 0.709
0.262 0.250 0.812
0.738 0.750 0.188
0.272 0.750 0.071
0.296 0.750 0.576
0.704 0.250 0.424
0.728 0.250 0.929
```

Results
**DFT total energy**: -4.5350 eV/atom

Entry 22:
A geometry-optimized PrTlGaTe3 structure. Source: OQMD via LeMat-Bulk, functional PBE.

Structure (POSCAR):
```
PrTlGaTe3
1.0
2.414 -7.317 0.000
2.414 7.317 0.000
0.000 0.000 12.072
Pr Tl Ga Te
2 2 2 6
Direct
0.000 0.000 0.000
0.000 0.000 0.500
0.245 0.755 0.750
0.755 0.245 0.250
0.475 0.525 0.250
0.525 0.475 0.750
0.073 0.927 0.250
0.361 0.639 0.067
0.361 0.639 0.433
0.639 0.361 0.567
0.639 0.361 0.933
0.927 0.073 0.750
```

Results
**Distance to the lowest polymorph of the same formula**: 20.6 meV per atom